# 1
The following is a PBE calculation of RbSrN2F after structural relaxation, from Alexandria via LeMat-Bulk.

Output
ΔE to the lowest computed polymorph = 0.7345 eV per atom
Symmetry = P4/mmm, No. 123

Cell and atoms, written as CIF:
```
data_RbSrN2F
_chemical_formula_sum 'Rb1 Sr1 N2 F1'
_cell_length_a 4.4943
_cell_length_b 4.4943
_cell_length_c 4.9542
_cell_angle_alpha 90.00
_cell_angle_beta 90.00
_cell_angle_gamma 90.00
_space_group_name_H-M_alt 'P 1'
_space_group_IT_number 1
loop_
_space_group_symop_operation_xyz
'x,y,z'
loop_
_atom_site_label
_atom_site_type_symbol
_atom_site_fract_x
_atom_site_fract_y
_atom_site_fract_z
F1 F 0.0000 0.0000 0.5000
N1 N 0.5000 0.0000 0.0000
Sr1 Sr 0.5000 0.5000 0.5000
Rb1 Rb 0.0000 0.0000 0.0000
N2 N 0.0000 0.5000 0.0000
```

# 2
The following is a PBE calculation of RbSrN2F after structural relaxation, from Alexandria via LeMat-Bulk.

Output
ΔE to the lowest computed polymorph = 0.0000 eV per atom
Symmetry = P4/mmm, No. 123

Cell and atoms, written as CIF:
```
data_RbSrN2F
_chemical_formula_sum 'Rb1 Sr1 N2 F1'
_cell_length_a 5.1235
_cell_length_b 5.1235
_cell_length_c 4.7539
_cell_angle_alpha 90.00
_cell_angle_beta 90.00
_cell_angle_gamma 90.00
_space_group_name_H-M_alt 'P 1'
_space_group_IT_number 1
loop_
_space_group_symop_operation_xyz
'x,y,z'
loop_
_atom_site_label
_atom_site_type_symbol
_atom_site_fract_x
_atom_site_fract_y
_atom_site_fract_z
N1 N 0.0000 0.5000 0.0000
Sr1 Sr 0.0000 0.0000 0.0000
N2 N 0.5000 0.0000 0.0000
F1 F 0.0000 0.0000 0.5000
Rb1 Rb 0.5000 0.5000 0.5000
```

# 3
The following is a PBE calculation of RbTaNF2 after structural relaxation, from Alexandria via LeMat-Bulk.

Output
ΔE to the lowest computed polymorph = 2.7475 eV per atom
Symmetry = P4/mmm, No. 123

Cell and atoms, written as CIF:
```
data_RbTaNF2
_chemical_formula_sum 'Rb1 Ta1 N1 F2'
_cell_length_a 4.6458
_cell_length_b 4.6458
_cell_length_c 4.5791
_cell_angle_alpha 90.00
_cell_angle_beta 90.00
_cell_angle_gamma 90.00
_space_group_name_H-M_alt 'P 1'
_space_group_IT_number 1
loop_
_space_group_symop_operation_xyz
'x,y,z'
loop_
_atom_site_label
_atom_site_type_symbol
_atom_site_fract_x
_atom_site_fract_y
_atom_site_fract_z
F1 F 0.0000 0.5000 0.0000
Ta1 Ta 0.5000 0.5000 0.5000
F2 F 0.5000 0.0000 0.0000
Rb1 Rb 0.0000 0.0000 0.0000
N1 N 0.0000 0.0000 0.5000
```

| no. | total energy (eV per atom) | uncorrected formation energy (eV per atom) | calculated density (g/cm3) |
| --- | --- | --- | --- |
| 1 | -3.6254 | 0.61 | 3.7 |
| 2 | -4.3600 | -0.13 | 2.9 |
| 3 | -3.9587 | 1.02 | 5.3 |